Here is a relaxed AcPm8Dy5 crystal from Alexandria. Energies are from PBE.

```
AcPm8Dy5
1.0
8.250 0.000 -2.543
-4.256 6.867 -3.043
0.261 0.000 8.629
Dy Pm Ac
5 8 1
Cartesian
-0.967 2.209 0.071
3.315 6.247 -3.356
2.152 0.620 7.266
4.010 4.658 2.106
4.256 0.000 3.043
4.146 2.717 5.090
1.902 4.150 -0.765
-1.823 5.089 -1.943
4.940 1.729 0.192
7.416 0.520 3.117
1.091 6.347 2.967
1.827 1.779 1.946
-2.477 5.139 1.569
0.131 3.434 4.315
```

Computed properties:
Crystal system ... tetragonal
Volume ... 35.247 Å³ per atom
Raw total energy ... -4.408 eV/atom
ΔH_f (0 K) ... 3.412 eV/f.u.
Fermi-level density of states ... 21.618 states/eV/f.u.
Density ... 7.40 g/cm³

=====

Here is a relaxed Zn2CuHgO crystal from Alexandria. Energies are from PBE.

```
Zn2CuHgO
1.0
5.006 0.000 0.000
0.000 3.573 0.000
0.000 0.000 5.006
Cu O Zn Hg
1 1 2 1
Cartesian
0.000 0.000 0.000
0.000 1.786 0.000
0.000 0.000 2.503
2.503 0.000 0.000
2.503 1.786 2.503
```

Computed properties:
Crystal system ... tetragonal
Volume ... 17.904 Å³ per atom
Raw total energy ... -2.355 eV/atom
Fermi-level density of states ... 2.022 states/eV/f.u.
Density ... 7.62 g/cm³

=====

Here is a relaxed PrReBr crystal from Alexandria. Energies are from PBE.

```
PrReBr
1.0
-3.233 -2.118 1.614
-0.996 -3.775 -1.515
5.888 -7.068 7.953
Re Pr Br
2 2 2
Cartesian
2.370 -4.607 4.134
-0.710 -8.354 3.918
-0.555 -5.512 2.523
2.214 -7.449 5.529
-0.320 -2.726 1.215
1.980 -10.235 6.837
```

Computed properties:
Offset from the most stable computed form ... 0.000 eV per atom
Crystal system ... trigonal
Volume ... 30.173 Å³ per atom
Raw total energy ... -7.148 eV/atom
Fermi-level density of states ... 1.695 states/eV/f.u.
Density ... 7.47 g/cm³

=====

Here is a relaxed PmY2Er3Bi6 crystal from Alexandria. Energies are from PBE.

```
PmY2Er3Bi6
1.0
4.482 0.000 0.000
0.000 8.957 0.326
-2.241 -2.574 9.420
Bi Y Er Pm
6 2 3 1
Cartesian
0.000 2.001 6.429
2.241 -0.132 3.214
0.000 6.516 6.532
2.241 4.382 3.317
2.241 -0.279 9.502
0.000 6.662 0.244
2.241 4.257 6.488
0.000 2.127 3.258
0.000 6.604 3.394
2.241 4.479 0.163
2.241 -0.220 6.351
2.241 0.000 0.000
```

Computed properties:
Crystal system ... monoclinic
Volume ... 31.826 Å³ per atom
Raw total energy ... -5.415 eV/atom
ΔH_f (0 K) ... -10.328 eV/f.u.
Fermi-level density of states ... 2.010 states/eV/f.u.
Density ... 9.04 g/cm³

=====

Here is a relaxed Er4TcHg3 crystal from Alexandria. Energies are from PBE.

```
Er4TcHg3
1.0
3.563 0.000 0.000
0.000 3.563 0.000
0.000 0.000 14.939
Er Hg Tc
4 3 1
Cartesian
0.000 0.000 5.538
0.000 0.000 13.350
0.000 0.000 1.590
0.000 0.000 9.401
1.781 1.781 7.470
1.781 1.781 3.588
1.781 1.781 11.352
1.781 1.781 0.000
```

Computed properties:
Crystal system ... tetragonal
Volume ... 23.702 Å³ per atom
Raw total energy ... -4.069 eV/atom
ΔH_f (0 K) ... -3.029 eV/f.u.
Fermi-level density of states ... 7.295 states/eV/f.u.
Density ... 11.99 g/cm³

=====

Here is a relaxed CdBiAs2O8 crystal from Alexandria. Energies are from PBE.

```
CdBiAs2O8
1.0
-1.671 4.736 -3.346
-4.470 -3.381 2.235
2.957 2.250 4.755
O As Bi Cd
8 2 1 1
Cartesian
-2.262 3.870 1.484
-3.952 2.167 -0.505
1.265 2.884 3.155
-0.027 2.335 0.372
-1.718 4.276 -1.027
0.435 4.844 0.878
-1.454 1.927 3.748
-2.231 0.231 0.891
-3.071 0.677 -0.556
-0.893 3.831 0.427
0.000 0.000 0.000
-2.292 -0.227 3.217
```

Computed properties:
Crystal system ... tetragonal
Volume ... 13.953 Å³ per atom
Raw total energy ... -5.589 eV/atom
Fermi-level density of states ... 2.628 states/eV/f.u.
Density ... 5.94 g/cm³

=====

Question: What is the volume in the fifth record?
Answer: 23.702 Å³ per atom